Crystalline SeS3N at its relaxed geometry. Source: Alexandria, functional PBE.

a = 4.198 Å, b = 4.198 Å, c = 4.198 Å
α = 90.00°, β = 90.00°, γ = 90.00°
Positions (direct):
Se (0.000, 0.000, 0.000)
S (0.000, 0.500, 0.500)
S (0.500, 0.000, 0.500)
S (0.500, 0.500, 0.000)
N (0.500, 0.500, 0.500)

Values from the calculation:
Raw formation energy   1.33 eV/atom
Energy relative to the lowest polymorph listed for this composition   822 meV per atom
Space-group type   Pm-3m, No. 221
Mass density   4.25 Mg/m³
Electronic total energy   -3.51 eV per atom

=====

Crystalline Tb2YIn3 at its relaxed geometry. Source: Alexandria, functional PBE.

a = 3.754 Å, b = 3.754 Å, c = 11.408 Å
α = 90.00°, β = 90.00°, γ = 90.00°
Positions (direct):
Tb (0.000, 0.000, 0.167)
Tb (0.000, 0.000, 0.833)
Y (0.000, 0.000, 0.500)
In (0.500, 0.500, 0.000)
In (0.500, 0.500, 0.334)
In (0.500, 0.500, 0.666)

Values from the calculation:
Space-group type   P4/mmm, No. 123
Mass density   7.76 Mg/m³
Energy relative to the elements   -280.1 kJ/mol of formula units
Electronic total energy   -4.47 eV per atom

=====

Crystalline Pr2NdZn2In2 at its relaxed geometry. Source: Alexandria, functional PBE.

a = 9.890 Å, b = 9.890 Å, c = 9.890 Å
α = 27.98°, β = 27.98°, γ = 27.98°
Positions (direct):
Pr (0.128, 0.128, 0.128)
Pr (0.872, 0.872, 0.872)
Nd (0.000, 0.000, 0.000)
Zn (0.399, 0.399, 0.399)
Zn (0.601, 0.601, 0.601)
In (0.266, 0.266, 0.266)
In (0.734, 0.734, 0.734)

Values from the calculation:
Space-group type   R-3m, No. 166
Mass density   6.94 Mg/m³
Energy relative to the elements   -208.0 kJ/mol of formula units
Electronic total energy   -3.50 eV per atom

=====

Crystalline HfTl2ZnCr at its relaxed geometry. Source: Alexandria, functional PBE.

a = 5.713 Å, b = 5.713 Å, c = 4.748 Å
α = 90.00°, β = 90.00°, γ = 90.00°
Positions (direct):
Hf (0.000, 0.000, 0.000)
Tl (0.000, 0.500, 0.000)
Tl (0.500, 0.000, 0.000)
Zn (0.500, 0.500, 0.500)
Cr (0.000, 0.000, 0.500)

Values from the calculation:
Space-group type   P4/mmm, No. 123
Mass density   7.55 Mg/m³
Energy relative to the elements   531.2 kJ/mol of formula units
Electronic total energy   -4.02 eV per atom

=====

Crystalline NpPd12Au3 at its relaxed geometry. Source: Alexandria, functional PBE.

a = 4.059 Å, b = 4.059 Å, c = 15.949 Å
α = 90.00°, β = 90.00°, γ = 90.00°
Positions (direct):
Np (0.000, 0.000, 0.000)
Pd (0.000, 0.500, 0.126)
Pd (0.000, 0.500, 0.377)
Pd (0.000, 0.500, 0.623)
Pd (0.000, 0.500, 0.874)
Pd (0.500, 0.000, 0.126)
Pd (0.500, 0.000, 0.377)
Pd (0.500, 0.000, 0.623)
Pd (0.500, 0.000, 0.874)
Pd (0.500, 0.500, 0.000)
Pd (0.500, 0.500, 0.253)
Pd (0.500, 0.500, 0.500)
Pd (0.500, 0.500, 0.747)
Au (0.000, 0.000, 0.254)
Au (0.000, 0.000, 0.500)
Au (0.000, 0.000, 0.746)

Values from the calculation:
Space-group type   P4/mmm, No. 123
Mass density   13.30 Mg/m³
Energy relative to the elements   -244.2 kJ/mol of formula units
Electronic total energy   -5.48 eV per atom

=====

Crystalline AgOsN2O at its relaxed geometry. Source: Alexandria, functional PBE.

a = 4.034 Å, b = 4.034 Å, c = 3.898 Å
α = 90.00°, β = 90.00°, γ = 90.00°
Positions (direct):
Ag (0.000, 0.000, 0.000)
Os (0.500, 0.500, 0.500)
N (0.000, 0.500, 0.000)
N (0.500, 0.000, 0.000)
O (0.000, 0.000, 0.500)

Values from the calculation:
Raw formation energy   2.52 eV/atom
Space-group type   P4/mmm, No. 123
Mass density   8.96 Mg/m³
Electronic total energy   -4.62 eV per atom

=====

Crystalline LaB2Rh3 at its relaxed geometry. Source: Alexandria, functional PBE.

a = 5.537 Å, b = 5.537 Å, c = 3.133 Å
α = 90.00°, β = 90.00°, γ = 120.00°
Positions (direct):
La (0.000, 0.000, 0.000)
B (0.333, 0.667, 0.000)
B (0.667, 0.333, 0.000)
Rh (0.000, 0.500, 0.500)
Rh (0.500, 0.000, 0.500)
Rh (0.500, 0.500, 0.500)

Values from the calculation:
Energy relative to the lowest polymorph listed for this composition   0 meV per atom
Space-group type   P6/mmm, No. 191
Mass density   9.37 Mg/m³
Energy relative to the elements   -385.0 kJ/mol of formula units
Electronic total energy   -7.39 eV per atom

=====

Crystalline Rb2PdI4 at its relaxed geometry. Source: Alexandria, functional PBE.

a = 9.855 Å, b = 9.855 Å, c = 9.855 Å
α = 146.18°, β = 146.18°, γ = 48.58°
Positions (direct):
Rb (0.137, 0.137, 0.000)
Rb (0.863, 0.863, 0.000)
Pd (0.500, 0.500, 0.000)
I (0.000, 0.500, 0.500)
I (0.347, 0.347, 0.000)
I (0.500, 0.000, 0.500)
I (0.653, 0.653, 0.000)

Values from the calculation:
Raw formation energy   -0.92 eV/atom
Space-group type   I4/mmm, No. 139
Mass density   4.42 Mg/m³
Electronic total energy   -2.83 eV per atom

=====

Crystalline Zr6Si7Ni16 at its relaxed geometry. Source: Alexandria, functional PBE.

a = 8.124 Å, b = 8.124 Å, c = 8.124 Å
α = 60.00°, β = 60.00°, γ = 60.00°
Positions (direct):
Zr (0.207, 0.207, 0.793)
Zr (0.207, 0.793, 0.207)
Zr (0.207, 0.793, 0.793)
Zr (0.793, 0.207, 0.207)
Zr (0.793, 0.207, 0.793)
Zr (0.793, 0.793, 0.207)
Si (0.000, 0.000, 0.500)
Si (0.000, 0.500, 0.000)
Si (0.000, 0.500, 0.500)
Si (0.500, 0.000, 0.000)
Si (0.500, 0.000, 0.500)
Si (0.500, 0.500, 0.000)
Si (0.500, 0.500, 0.500)
Ni (0.145, 0.618, 0.618)
Ni (0.169, 0.169, 0.169)
Ni (0.169, 0.169, 0.493)
Ni (0.169, 0.493, 0.169)
Ni (0.382, 0.382, 0.382)
Ni (0.382, 0.382, 0.855)
Ni (0.382, 0.855, 0.382)
Ni (0.493, 0.169, 0.169)
Ni (0.507, 0.831, 0.831)
Ni (0.618, 0.145, 0.618)
Ni (0.618, 0.618, 0.145)
Ni (0.618, 0.618, 0.618)
Ni (0.831, 0.507, 0.831)
Ni (0.831, 0.831, 0.507)
Ni (0.831, 0.831, 0.831)
Ni (0.855, 0.382, 0.382)

Values from the calculation:
Raw formation energy   -0.76 eV/atom
Space-group type   Fm-3m, No. 225
Mass density   7.37 Mg/m³
Electronic total energy   -7.03 eV per atom

=====

Crystalline Pm4ErTh2 at its relaxed geometry. Source: Alexandria, functional PBE.

a = 9.278 Å, b = 9.278 Å, c = 9.278 Å
α = 144.46°, β = 144.46°, γ = 51.14°
Positions (direct):
Pm (0.000, 0.500, 0.500)
Pm (0.188, 0.188, 0.000)
Pm (0.500, 0.000, 0.500)
Pm (0.812, 0.812, 0.000)
Er (0.000, 0.000, 0.000)
Th (0.390, 0.390, 0.000)
Th (0.610, 0.610, 0.000)

Values from the calculation:
Space-group type   I4/mmm, No. 139
Mass density   7.49 Mg/m³
Energy relative to the elements   524.2 kJ/mol of formula units
Electronic total energy   -4.71 eV per atom

=====

Crystalline SrLuMgPb at its relaxed geometry. Source: Alexandria, functional PBE.

a = 5.537 Å, b = 5.537 Å, c = 5.537 Å
α = 60.00°, β = 60.00°, γ = 60.00°
Positions (direct):
Sr (0.000, 0.000, 0.000)
Lu (0.500, 0.500, 0.500)
Mg (0.750, 0.750, 0.750)
Pb (0.250, 0.250, 0.250)

Values from the calculation:
Space-group type   F-43m, No. 216
Mass density   6.83 Mg/m³
Energy relative to the elements   -75.4 kJ/mol of formula units
Electronic total energy   -3.07 eV per atom

=====

Crystalline CaCePm2Hg4 at its relaxed geometry. Source: Alexandria, functional PBE.

a = 9.363 Å, b = 9.363 Å, c = 9.363 Å
α = 33.47°, β = 33.47°, γ = 33.47°
Positions (direct):
Ca (0.000, 0.000, 0.000)
Ce (0.500, 0.500, 0.500)
Pm (0.252, 0.252, 0.252)
Pm (0.748, 0.748, 0.748)
Hg (0.125, 0.125, 0.125)
Hg (0.375, 0.375, 0.375)
Hg (0.625, 0.625, 0.625)
Hg (0.875, 0.875, 0.875)

Values from the calculation:
Space-group type   R-3m, No. 166
Mass density   9.51 Mg/m³
Energy relative to the elements   -351.8 kJ/mol of formula units
Electronic total energy   -2.79 eV per atom

=====

Crystalline GdTiHg2 at its relaxed geometry. Source: Alexandria, functional PBE.

a = 5.065 Å, b = 5.065 Å, c = 5.065 Å
α = 60.00°, β = 60.00°, γ = 60.00°
Positions (direct):
Gd (0.000, 0.000, 0.000)
Ti (0.500, 0.500, 0.500)
Hg (0.250, 0.250, 0.250)
Hg (0.750, 0.750, 0.750)

Values from the calculation:
Energy relative to the lowest polymorph listed for this composition   15 meV per atom
Space-group type   Fm-3m, No. 225
Mass density   10.96 Mg/m³
Energy relative to the elements   -68.4 kJ/mol of formula units
Electronic total energy   -5.82 eV per atom

=====

Crystalline LaSb2Au at its relaxed geometry. Source: Alexandria, functional PBE.

a = 5.772 Å, b = 5.772 Å, c = 6.488 Å
α = 90.00°, β = 90.00°, γ = 90.00°
Positions (direct):
La (0.250, 0.250, 0.215)
La (0.750, 0.750, 0.785)
Sb (0.250, 0.250, 0.713)
Sb (0.250, 0.750, 0.000)
Sb (0.750, 0.250, 0.000)
Sb (0.750, 0.750, 0.287)
Au (0.250, 0.750, 0.500)
Au (0.750, 0.250, 0.500)

Values from the calculation:
Raw formation energy   -0.52 eV/atom
Space-group type   P4/nmm, No. 129
Mass density   8.90 Mg/m³
Electronic total energy   -4.63 eV per atom

=====

Crystalline Si2SbIr at its relaxed geometry. Source: Alexandria, functional PBE.

a = 4.747 Å, b = 4.747 Å, c = 4.747 Å
α = 125.63°, β = 125.63°, γ = 80.50°
Positions (direct):
Si (0.000, 0.000, 0.000)
Si (0.750, 0.250, 0.500)
Sb (0.500, 0.500, 0.000)
Ir (0.250, 0.750, 0.500)

Values from the calculation:
Raw formation energy   0.39 eV/atom
Space-group type   I-4m2, No. 119
Mass density   9.02 Mg/m³
Electronic total energy   -5.56 eV per atom

=====

Crystalline AcCuGeO5 at its relaxed geometry. Source: Alexandria, functional PBE.

a = 5.763 Å, b = 5.763 Å, c = 7.030 Å
α = 100.32°, β = 100.32°, γ = 110.86°
Positions (direct):
Ac (0.162, 0.838, 0.750)
Ac (0.838, 0.162, 0.250)
Cu (0.183, 0.817, 0.250)
Cu (0.817, 0.183, 0.750)
Ge (0.500, 0.500, 0.000)
Ge (0.500, 0.500, 0.500)
O (0.134, 0.248, 0.942)
O (0.219, 0.595, 0.413)
O (0.248, 0.134, 0.442)
O (0.405, 0.781, 0.087)
O (0.433, 0.567, 0.750)
O (0.567, 0.433, 0.250)
O (0.595, 0.219, 0.913)
O (0.752, 0.866, 0.558)
O (0.781, 0.405, 0.587)
O (0.866, 0.752, 0.058)

Values from the calculation:
Raw formation energy   -1.74 eV/atom
Space-group type   C2/c, No. 15
Mass density   7.11 Mg/m³
Electronic total energy   -6.45 eV per atom

=====

Crystalline Rb2TaSnIr at its relaxed geometry. Source: Alexandria, functional PBE.

a = 6.763 Å, b = 6.763 Å, c = 4.926 Å
α = 90.00°, β = 90.00°, γ = 90.00°
Positions (direct):
Rb (0.000, 0.500, 0.000)
Rb (0.500, 0.000, 0.000)
Ta (0.000, 0.000, 0.500)
Sn (0.500, 0.500, 0.000)
Ir (0.500, 0.500, 0.500)

Values from the calculation:
Space-group type   P4/mmm, No. 123
Mass density   4.89 Mg/m³
Energy relative to the elements   837.2 kJ/mol of formula units
Electronic total energy   -3.59 eV per atom

=====

Crystalline MgTl4Hg5 at its relaxed geometry. Source: Alexandria, functional PBE.

a = 7.476 Å, b = 7.476 Å, c = 7.476 Å
α = 99.82°, β = 99.82°, γ = 131.21°
Positions (direct):
Mg (0.000, 0.000, 0.000)
Tl (0.202, 0.946, 0.620)
Tl (0.326, 0.582, 0.380)
Tl (0.582, 0.202, 0.257)
Tl (0.946, 0.326, 0.743)
Hg (0.009, 0.657, 0.132)
Hg (0.461, 0.461, 0.000)
Hg (0.525, 0.877, 0.868)
Hg (0.657, 0.525, 0.647)
Hg (0.877, 0.009, 0.353)

Values from the calculation:
Energy relative to the lowest polymorph listed for this composition   22 meV per atom
Space-group type   I4, No. 79
Mass density   10.70 Mg/m³
Energy relative to the elements   -10.2 kJ/mol of formula units
Electronic total energy   -1.27 eV per atom

=====

Crystalline ZnOs2Se at its relaxed geometry. Source: Alexandria, functional PBE.

a = 2.778 Å, b = 2.778 Å, c = 10.102 Å
α = 90.00°, β = 90.00°, γ = 120.22°
Positions (direct):
Zn (0.000, 0.000, 0.000)
Os (0.000, 0.000, 0.448)
Os (0.500, 0.500, 0.230)
Se (0.500, 0.500, 0.675)

Values from the calculation:
Raw formation energy   0.60 eV/atom
Energy relative to the lowest polymorph listed for this composition   282 meV per atom
Space-group type   Cmm2, No. 35
Mass density   12.94 Mg/m³
Electronic total energy   -6.20 eV per atom

=====

Crystalline Dy3ZrO at its relaxed geometry. Source: Alexandria, functional PBE.

a = 4.826 Å, b = 4.826 Å, c = 4.826 Å
α = 90.00°, β = 90.00°, γ = 90.00°
Positions (direct):
Dy (0.000, 0.000, 0.500)
Dy (0.000, 0.500, 0.000)
Dy (0.500, 0.000, 0.000)
Zr (0.500, 0.500, 0.500)
O (0.000, 0.000, 0.000)

Values from the calculation:
Raw formation energy   -1.10 eV/atom
Space-group type   Pm-3m, No. 221
Mass density   8.79 Mg/m³
Electronic total energy   -6.57 eV per atom

=====

Crystalline LiSmSiPt2 at its relaxed geometry. Source: Alexandria, functional PBE.

a = 6.150 Å, b = 6.150 Å, c = 6.150 Å
α = 141.39°, β = 141.39°, γ = 55.74°
Positions (direct):
Li (0.000, 0.000, 0.000)
Sm (0.250, 0.750, 0.500)
Si (0.500, 0.500, 0.000)
Pt (0.626, 0.126, 0.500)
Pt (0.874, 0.374, 0.500)

Values from the calculation:
Raw formation energy   -0.94 eV/atom
Space-group type   I-4m2, No. 119
Mass density   10.64 Mg/m³
Electronic total energy   -5.77 eV per atom

=====

Crystalline K2BeOs at its relaxed geometry. Source: Alexandria, functional PBE.

a = 6.668 Å, b = 6.668 Å, c = 6.668 Å
α = 153.51°, β = 127.98°, γ = 59.31°
Positions (direct):
K (0.000, 0.000, 0.000)
K (0.708, 0.208, 0.500)
Be (0.423, 0.423, 0.000)
Os (0.296, 0.796, 0.500)

Values from the calculation:
Space-group type   Imm2, No. 44
Mass density   4.45 Mg/m³
Energy relative to the elements   375.8 kJ/mol of formula units
Electronic total energy   -3.31 eV per atom

=====

Crystalline ZrHgSe2 at its relaxed geometry. Source: Alexandria, functional PBE.

a = 6.218 Å, b = 6.218 Å, c = 6.218 Å
α = 142.89°, β = 142.89°, γ = 53.50°
Positions (direct):
Zr (0.000, 0.000, 0.000)
Hg (0.250, 0.750, 0.500)
Se (0.500, 0.500, 0.000)
Se (0.750, 0.250, 0.500)

Values from the calculation:
Raw formation energy   -0.34 eV/atom
Energy relative to the lowest polymorph listed for this composition   656 meV per atom
Space-group type   I-4m2, No. 119
Mass density   8.59 Mg/m³
Electronic total energy   -4.29 eV per atom

=====

Crystalline ZrTl2As at its relaxed geometry. Source: Alexandria, functional PBE.

a = 9.432 Å, b = 9.432 Å, c = 9.432 Å
α = 21.23°, β = 21.23°, γ = 21.23°
Positions (direct):
Zr (0.000, 0.000, 0.000)
Tl (0.245, 0.245, 0.245)
Tl (0.755, 0.755, 0.755)
As (0.500, 0.500, 0.500)

Values from the calculation:
Energy relative to the lowest polymorph listed for this composition   507 meV per atom
Space-group type   R-3m, No. 166
Mass density   9.91 Mg/m³
Energy relative to the elements   86.9 kJ/mol of formula units
Electronic total energy   -4.26 eV per atom

=====

Crystalline PuGa2As at its relaxed geometry. Source: Alexandria, functional PBE.

a = 4.148 Å, b = 4.148 Å, c = 4.553 Å
α = 90.00°, β = 90.00°, γ = 90.00°
Positions (direct):
Pu (0.000, 0.000, 0.000)
Ga (0.000, 0.500, 0.500)
Ga (0.500, 0.000, 0.500)
As (0.500, 0.500, 0.000)

Values from the calculation:
Energy relative to the lowest polymorph listed for this composition   0 meV per atom
Space-group type   P4/mmm, No. 123
Mass density   9.72 Mg/m³
Energy relative to the elements   -199.6 kJ/mol of formula units
Electronic total energy   -6.78 eV per atom

=====

Crystalline WAu3I at its relaxed geometry. Source: Alexandria, functional PBE.

a = 5.287 Å, b = 5.287 Å, c = 5.287 Å
α = 90.00°, β = 90.00°, γ = 90.00°
Positions (direct):
W (0.000, 0.000, 0.000)
Au (0.000, 0.500, 0.500)
Au (0.500, 0.000, 0.500)
Au (0.500, 0.500, 0.000)
I (0.500, 0.500, 0.500)

Values from the calculation:
Raw formation energy   1.95 eV/atom
Energy relative to the lowest polymorph listed for this composition   766 meV per atom
Space-group type   Pm-3m, No. 221
Mass density   10.13 Mg/m³
Electronic total energy   -2.92 eV per atom